# 1
Below is a relaxed Ti3GaH crystal, with properties calculated at the GGA-PBE level.

Cell: 5.710 5.437 4.538 Å, 90.00 90.00 76.44°
Fractional positions:
Ti 0.574 0.101 0.212
Ti 0.231 0.418 0.717
Ti 0.911 0.606 0.222
Ti 0.064 0.068 0.217
H 0.993 0.342 0.960
Ti 0.721 0.385 0.712
Ti 0.384 0.880 0.722
H 0.302 0.144 0.460
Ga 0.428 0.607 0.219
Ga 0.868 0.879 0.719

Summary:
SG = P2_1
Total moment = 0.00 μB per atom
Theoretical density = 5.197 g/cm³
Calculated total energy = -6.387 eV/atom

# 2
Below is a relaxed Ti8Ga4H crystal, with properties calculated at the GGA-PBE level.

Cell: 4.064 3.717 13.019 Å, 90.00 90.00 90.00°
Fractional positions:
H 0.000 0.000 0.284
Ti 0.500 0.500 0.754
Ti 0.500 0.000 0.584
Ga 0.000 0.000 0.088
Ti 0.500 0.500 0.080
Ga 0.500 0.500 0.411
Ti 0.500 0.000 0.254
Ga 0.500 0.000 0.910
Ti 0.000 0.500 0.248
Ti 0.000 0.000 0.427
Ti 0.000 0.000 0.748
Ga 0.000 0.500 0.594
Ti 0.000 0.500 0.920

Summary:
SG = Pmm2
Total moment = 0.00 μB per atom
Theoretical density = 5.597 g/cm³
Calculated total energy = -6.437 eV/atom

# 3
Below is a relaxed TiGaH3 crystal, with properties calculated at the GGA-PBE level.

Cell: 3.588 3.588 3.588 Å, 90.00 90.00 90.00°
Fractional positions:
Ti 0.000 0.000 0.000
H 0.500 0.000 0.000
H 0.000 0.000 0.500
H 0.000 0.500 0.000
Ga 0.500 0.500 0.500

Summary:
Energy above the most stable polymorph in this dataset = 0 meV/atom
SG = Pm-3m
Total moment = 0.00 μB per atom
Theoretical density = 4.337 g/cm³
Calculated total energy = -4.172 eV/atom

# 4
Below is a relaxed Ti2GaH4 crystal, with properties calculated at the GGA-PBE level.

Cell: 3.542 3.542 5.588 Å, 71.52 71.52 90.00°
Fractional positions:
H 0.182 0.182 0.637
H 0.000 0.500 0.000
Ti 0.636 0.636 0.727
H 0.818 0.818 0.363
Ga 0.000 0.000 0.000
Ti 0.364 0.364 0.273
H 0.500 0.000 0.000

Summary:
SG = I4/mmm
Total moment = 0.00 μB per atom
Theoretical density = 4.491 g/cm³
Calculated total energy = -4.327 eV/atom